Below is a relaxed structure of W2BrCl, with properties calculated at the PBEsol level. Values from VASP.

## Properties
E above lowest polymorph ... 1081 meV per atom
Formation energy (no corrections) ... 1.266 eV/atom

Structure (Quantum ESPRESSO input):
```
&SYSTEM
  ibrav = 0, nat = 4, ntyp = 3
/
ATOMIC_SPECIES
Br 79.90 Br.upf
W 183.84 W.upf
Cl 35.45 Cl.upf
ATOMIC_POSITIONS angstrom
Br 2.091 1.025 1.823
W 0.000 0.000 0.000
W 0.000 2.683 0.891
Cl 2.091 3.708 2.714
CELL_PARAMETERS angstrom
4.183 0.000 0.000
-2.091 4.340 -0.041
0.000 2.050 3.646
```

=====

Below is a relaxed structure of La2YAg, with properties calculated at the PBEsol level. Values from VASP.

## Properties
Formation energy from the elements ... -93 meV per atom
E above lowest polymorph ... 29 meV per atom

Structure (Quantum ESPRESSO input):
```
&SYSTEM
  ibrav = 0, nat = 4, ntyp = 3
/
ATOMIC_SPECIES
Y 88.91 Y.upf
Ag 107.87 Ag.upf
La 138.91 La.upf
ATOMIC_POSITIONS angstrom
Y -0.839 -3.259 -0.377
Ag 1.903 -3.269 0.832
La 1.663 -4.926 3.552
La -0.147 -1.671 2.920
CELL_PARAMETERS angstrom
-3.127 -1.473 1.366
1.075 -4.766 -2.679
3.856 1.237 5.104
```

=====

Below is a relaxed structure of Be2RhF, with properties calculated at the PBEsol level. Values from VASP.

## Properties
Formation energy (no corrections) ... -0.648 eV/atom

Structure (Quantum ESPRESSO input):
```
&SYSTEM
  ibrav = 0, nat = 8, ntyp = 3
/
ATOMIC_SPECIES
Be 9.01 Be.upf
Rh 102.91 Rh.upf
F 19.00 F.upf
ATOMIC_POSITIONS angstrom
Be 3.112 2.176 0.506
Be -1.188 -0.309 2.440
Be 1.180 0.791 1.775
Be -1.131 2.301 3.106
Rh 0.000 0.000 0.000
Rh 0.493 2.802 0.967
F -1.875 1.226 1.935
F 0.493 -0.322 2.946
CELL_PARAMETERS angstrom
4.736 0.028 0.044
-1.875 4.349 -0.044
-1.875 -1.898 3.914
```

=====

Below is a relaxed structure of MnIn2Te, with properties calculated at the PBEsol level. Values from VASP.

## Properties
Formation energy (no corrections) ... 0.316 eV/atom

Structure (Quantum ESPRESSO input):
```
&SYSTEM
  ibrav = 0, nat = 4, ntyp = 3
/
ATOMIC_SPECIES
In 114.82 In.upf
Mn 54.94 Mn.upf
Te 127.60 Te.upf
ATOMIC_POSITIONS angstrom
In -1.019 1.832 2.630
In -2.859 4.128 7.340
Mn -1.939 2.980 4.985
Te 0.000 0.000 0.000
CELL_PARAMETERS angstrom
-2.483 -1.079 1.797
0.535 -1.127 3.000
-1.931 8.166 5.173
```

=====

Below is a relaxed structure of LaTcAg, with properties calculated at the PBEsol level. Values from VASP.

## Properties
Formation energy from the elements ... 453 meV per atom
E above lowest polymorph ... 0 meV per atom

Structure (Quantum ESPRESSO input):
```
&SYSTEM
  ibrav = 0, nat = 3, ntyp = 3
/
ATOMIC_SPECIES
Ag 107.87 Ag.upf
La 138.91 La.upf
Tc 98.00 Tc.upf
ATOMIC_POSITIONS angstrom
Ag 1.858 1.858 4.296
La 1.858 1.858 1.407
Tc 0.000 0.000 3.436
CELL_PARAMETERS angstrom
3.717 0.000 0.000
0.000 3.717 0.000
-1.858 -1.858 4.570
```

=====

Below is a relaxed structure of K2HgAsBr6, with properties calculated at the PBEsol level. Values from VASP.

## Properties
Formation energy (no corrections) ... -0.887 eV/atom

Structure (Quantum ESPRESSO input):
```
&SYSTEM
  ibrav = 0, nat = 10, ntyp = 4
/
ATOMIC_SPECIES
K 39.10 K.upf
Hg 200.59 Hg.upf
As 74.92 As.upf
Br 79.90 Br.upf
ATOMIC_POSITIONS angstrom
K 4.302 -12.878 4.175
K 1.434 -4.293 1.392
Hg 2.868 -8.586 2.783
As 0.000 0.000 0.000
Br 1.242 -8.055 0.517
Br 4.444 -10.369 1.235
Br 4.493 -9.116 5.050
Br 1.155 -10.730 3.510
Br 4.580 -6.441 2.057
Br 1.291 -6.802 4.331
CELL_PARAMETERS angstrom
-0.263 -7.564 -1.582
6.166 -4.456 1.384
-0.168 -5.151 5.764
```

=====

Below is a relaxed structure of CuPWCl2, with properties calculated at the PBEsol level. Values from VASP.

## Properties
Formation energy (no corrections) ... 1.134 eV/atom

Structure (Quantum ESPRESSO input):
```
&SYSTEM
  ibrav = 0, nat = 5, ntyp = 4
/
ATOMIC_SPECIES
P 30.97 P.upf
Cu 63.55 Cu.upf
W 183.84 W.upf
Cl 35.45 Cl.upf
ATOMIC_POSITIONS angstrom
P 1.665 1.223 1.345
Cu 0.000 0.000 0.000
W 0.464 0.046 3.902
Cl 0.355 -1.780 1.179
Cl -1.556 0.603 1.378
CELL_PARAMETERS angstrom
-3.112 1.205 2.756
0.709 -3.560 2.358
3.330 2.446 2.691
```

=====

Below is a relaxed structure of Be2CuAu, with properties calculated at the PBEsol level. Values from VASP.

## Properties
Formation energy from the elements ... 190 meV per atom

Structure (Quantum ESPRESSO input):
```
&SYSTEM
  ibrav = 0, nat = 4, ntyp = 3
/
ATOMIC_SPECIES
Be 9.01 Be.upf
Au 196.97 Au.upf
Cu 63.55 Cu.upf
ATOMIC_POSITIONS angstrom
Be 3.809 -5.763 3.550
Be 0.518 -5.681 4.838
Au 0.082 -1.797 1.565
Cu 0.482 -3.933 3.299
CELL_PARAMETERS angstrom
-1.239 0.019 2.364
-2.027 -1.675 0.459
3.915 -5.876 3.607
```

=====

| no. | electronic total energy (eV/atom) |
| --- | --- |
| 1 | -6.607 |
| 2 | -5.299 |
| 3 | -5.164 |
| 4 | -4.497 |
| 5 | -6.189 |
| 6 | -2.803 |
| 7 | -4.455 |
| 8 | -3.875 |